Record 1
The following is a DFT calculation (PBE) of Cr3SiS after structural relaxation.

a b c (Å): 4.116 4.116 4.116
angles (deg): 90.00 90.00 90.00
Space group Pm-3m (No. 221)
Asymmetric unit:
Cr: 0.000 0.000 0.500 x3
Si: 0.500 0.500 0.500 x1
S: 0.000 0.000 0.000 x1

The calculation puts the formation energy without anion corrections at 0.42 eV per atom. The energy relative to the lowest polymorph listed for this composition comes out at 0.0 meV per atom.

---

Record 2
The following is a DFT calculation (PBE) of CrSiS2 after structural relaxation.

a b c (Å): 3.3708 3.3708 22.6063
angles (deg): 90.00 90.00 120.00
Space group R-3m (No. 166, hexagonal axes)
Asymmetric unit:
Cr: 0.0000 0.0000 0.0000 x3
Si: 0.0000 0.0000 0.5000 x3
S: 0.0000 0.0000 0.3921 x6

The calculation puts the formation energy without anion corrections at -0.19 eV per atom.

---

Record 3
The following is a DFT calculation (PBE) of CrSiS2 after structural relaxation.

a b c (Å): 5.222 5.222 10.366
angles (deg): 90.00 90.00 90.00
Space group I-42d (No. 122)
Asymmetric unit:
Cr: 0.000 0.000 0.000 x4
Si: 0.000 0.000 0.500 x4
S: 0.238 0.250 0.125 x8

The calculation puts the formation energy without anion corrections at 0.07 eV per atom.

---

Record 4
The following is a DFT calculation (PBE) of Cr2SiTcS after structural relaxation.

a b c (Å): 4.292 4.292 4.447
angles (deg): 90.00 90.00 90.00
Space group P4/mmm (No. 123)
Asymmetric unit:
Cr: 0.000 0.500 0.000 x2
Si: 0.000 0.000 0.000 x1
Tc: 0.000 0.000 0.500 x1
S: 0.500 0.500 0.500 x1

The calculation puts the formation energy without anion corrections at 1.28 eV per atom.

---

Record 5
The following is a DFT calculation (PBE) of Tl2CrSi2S6 after structural relaxation.

a b c (Å): 6.8004 6.8004 18.8061
angles (deg): 90.00 90.00 120.00
Space group R-3m (No. 166, hexagonal axes)
Asymmetric unit:
Tl: 0.0000 0.0000 0.2278 x6
Cr: 0.0000 0.0000 0.0000 x3
Si: 0.0000 0.0000 0.4351 x6
S: 0.0220 0.5110 0.7497 x18

The calculation puts the formation energy without anion corrections at -0.36 eV per atom.

---

Record 6
The following is a DFT calculation (PBE) of Tl2CrSiS4 after structural relaxation.

a b c (Å): 5.957 12.833 22.811
angles (deg): 90.00 90.00 90.00
Space group Fddd (No. 70, origin choice 2)
Asymmetric unit:
Tl: 0.125 0.125 0.310 x16
Cr: 0.125 0.125 0.125 x8
Si: 0.125 0.125 0.625 x8
S: 0.095 0.274 0.827 x32

The calculation puts the formation energy without anion corrections at -0.48 eV per atom.

---

Record 7
The following is a DFT calculation (PBE) of Y6CrSi2S14 after structural relaxation.

a b c (Å): 9.8754 9.8754 5.6836
angles (deg): 90.00 90.00 120.00
Space group P3 (No. 143)
Asymmetric unit:
Y: 0.0248 0.5627 0.0000 x3
Y: 0.3106 0.1060 0.4983 x3
Cr: 0.6667 0.3333 0.7811 x1
Si: 0.0000 0.0000 0.9097 x1
Si: 0.3333 0.6667 0.4164 x1
S: 0.0000 0.0000 0.2807 x1
S: 0.0823 0.8550 0.7604 x3
S: 0.1872 0.4395 0.2668 x3
S: 0.3333 0.6667 0.7870 x1
S: 0.4195 0.1749 0.0174 x3
S: 0.5117 0.4240 0.5412 x3

The calculation puts the formation energy without anion corrections at -1.58 eV per atom.

---

Record 8
The following is a DFT calculation (PBE) of Sm3Cr5S12 after structural relaxation.

a b c (Å): 14.983 14.983 14.983
angles (deg): 90.00 90.00 90.00
Space group Ia-3d (No. 230)
Asymmetric unit:
Sm: 0.000 0.250 0.125 x24
Cr: 0.000 0.000 0.000 x16
Cr: 0.000 0.250 0.375 x24
S: 0.030 0.057 0.649 x96

The calculation puts the formation energy without anion corrections at -1.08 eV per atom.

---

Record 9
The following is a DFT calculation (PBE) of SmCrS3 after structural relaxation.

a b c (Å): 8.775 12.271 3.666
angles (deg): 90.00 90.00 90.00
Space group Cmmm (No. 65)
Asymmetric unit:
Sm: 0.000 0.000 0.000 x2
Sm: 0.000 0.500 0.500 x2
Cr: 0.250 0.250 0.000 x4
S: 0.000 0.327 0.000 x4
S: 0.198 0.124 0.500 x8

The calculation puts the formation energy without anion corrections at -1.21 eV per atom. The energy relative to the lowest polymorph listed for this composition comes out at 165.3 meV per atom.

---

Record 10
The following is a DFT calculation (PBE) of SmCrS3 after structural relaxation.

a b c (Å): 7.790 3.760 12.899
angles (deg): 90.00 90.00 90.00
Space group Pnma (No. 62)
Asymmetric unit:
Sm: 0.086 0.250 0.173 x4
Cr: 0.164 0.750 0.450 x4
S: 0.008 0.750 0.607 x4
S: 0.157 0.750 0.008 x4
S: 0.194 0.250 0.786 x4

The calculation puts the formation energy without anion corrections at -1.38 eV per atom. The energy relative to the lowest polymorph listed for this composition comes out at 0.0 meV per atom.

---

Record 11
The following is a DFT calculation (PBE) of SmCr2S4 after structural relaxation.

a b c (Å): 8.307 8.307 7.979
angles (deg): 90.00 90.00 90.00
Space group I4_1/amd (No. 141, origin choice 2)
Asymmetric unit:
Sm: 0.000 0.250 0.375 x4
Cr: 0.000 0.000 0.000 x8
S: 0.000 0.070 0.708 x16

The calculation puts the formation energy without anion corrections at -1.03 eV per atom.

---

Record 12
The following is a DFT calculation (PBE) of Sm4CrS7 after structural relaxation.

a b c (Å): 9.7672 9.7672 6.7661
angles (deg): 90.00 90.00 120.00
Space group P6_3 (No. 173)
Asymmetric unit:
Sm: 0.1586 0.3764 0.0000 x6
Sm: 0.3333 0.6667 0.4503 x2
Cr: 0.0000 0.0000 0.3331 x2
S: 0.0716 0.5591 0.2392 x6
S: 0.1034 0.2330 0.5984 x6
S: 0.3333 0.6667 0.8372 x2

The calculation puts the formation energy without anion corrections at -1.69 eV per atom. The energy relative to the lowest polymorph listed for this composition comes out at 0.0 meV per atom.

---

- Which value of formation energy without anion corrections does entry 4 give?
  1.28 eV per atom

---

- Which value of formation energy without anion corrections does entry 6 give?
  -0.48 eV per atom

---

- formation energy without anion corrections of number 7 (Y6CrSi2S14)?
  -1.58 eV per atom

---

Please write out number 11 again, unchanged.
The following is a DFT calculation (PBE) of SmCr2S4 after structural relaxation.

a b c (Å): 8.307 8.307 7.979
angles (deg): 90.00 90.00 90.00
Space group I4_1/amd (No. 141, origin choice 2)
Asymmetric unit:
Sm: 0.000 0.250 0.375 x4
Cr: 0.000 0.000 0.000 x8
S: 0.000 0.070 0.708 x16

The calculation puts the formation energy without anion corrections at -1.03 eV per atom.